Below is a relaxed K3Nd3PaSe8 crystal, with properties calculated at the PBE-GGA level.

Cell lengths 8.623, 8.623, 9.262 Å; angles 117.75, 90.00, 120.00 degrees
Last column: magnetic moment on the atom in μB.
Sites, in units of the cell vectors:
K: 0.000 0.000 0.000  0.00
K: 0.000 0.500 0.000  0.00
K: 0.500 0.500 0.000  0.00
Nd: 0.500 0.000 0.500  0.01
Nd: 0.500 0.500 0.500  0.01
Nd: 0.000 0.500 0.500  0.01
Pa: 0.000 0.000 0.500  0.97
Se: 0.263 0.526 0.289  0.00
Se: 0.737 0.474 0.711  0.00
Se: 0.771 0.542 0.297  -0.01
Se: 0.229 0.458 0.703  -0.01
Se: 0.771 0.026 0.297  -0.01
Se: 0.229 0.974 0.703  -0.01
Se: 0.255 0.026 0.297  -0.01
Se: 0.745 0.974 0.703  -0.01

The calculation puts the calculated volume at 33.5 Å³ per atom. The space group is No. 166. For the spin magnetization, the calculation gives 1.0 μB/f.u. As for the total energy: -80.13 eV per cell. As for the uncorrected formation energy: -1.677 eV/atom.